(1)
The following is a PBE calculation of Ba3Zn3Pt2 after structural relaxation, from Alexandria.

```
Ba3Zn3Pt2
1.0
-3.210 2.783 1.313
-1.349 -2.328 -5.895
-8.483 -13.152 7.135
Pt Zn Ba
4 6 6
Direct
0.849 0.697 0.881 Pt
0.151 0.303 0.381 Pt
0.151 0.303 0.119 Pt
0.849 0.697 0.619 Pt
0.423 0.845 0.557 Zn
0.737 0.473 0.750 Zn
0.577 0.155 0.057 Zn
0.577 0.155 0.443 Zn
0.423 0.845 0.943 Zn
0.263 0.527 0.250 Zn
0.853 0.707 0.088 Ba
0.147 0.293 0.588 Ba
0.439 0.877 0.750 Ba
0.561 0.123 0.250 Ba
0.147 0.293 0.912 Ba
0.853 0.707 0.412 Ba
```

Properties
* space group: Cmcm, No. 63
* crystal system: orthorhombic
* magnetic moment: 0.000 μB/atom
* energy above the lowest structure with this stoichiometry: 0.0 kJ per mole of atoms
* V: 29.1 Å³/atom
* ΔH_f (0 K): -0.55 eV per atom

=====

(2)
The following is a PBE calculation of NaP2RuS after structural relaxation, from Alexandria.

```
NaP2RuS
1.0
-1.771 -2.048 3.895
4.400 -0.865 1.546
0.042 4.121 2.186
Na P Ru S
1 2 1 1
Direct
0.000 0.000 0.000 Na
0.000 0.500 0.000 P
0.500 0.000 0.000 P
0.500 0.500 0.500 Ru
0.000 0.000 0.500 S
```

Properties
* space group: P4/mmm, No. 123
* formation energy (no corrections): 1.793 eV per atom
* crystal system: tetragonal
* magnetic moment: 0.427 μB/atom
* energy above the lowest structure with this stoichiometry: 159.8 kJ per mole of atoms
* V: 21.0 Å³/atom

=====

(3)
The following is a PBE calculation of Sm11Cd9Pt4 after structural relaxation, from Alexandria.

```
Sm11Cd9Pt4
1.0
-1.536 -1.781 -2.906
9.724 4.655 -7.990
3.072 -11.797 5.608
Cd Sm Pt
9 11 4
Direct
0.500 0.158 0.635 Cd
0.500 0.786 0.929 Cd
0.500 0.071 0.214 Cd
0.500 0.500 0.500 Cd
0.500 0.842 0.365 Cd
0.500 0.214 0.071 Cd
0.500 0.635 0.158 Cd
0.500 0.365 0.842 Cd
0.500 0.929 0.786 Cd
0.000 0.837 0.163 Sm
0.000 0.695 0.695 Sm
0.000 0.000 0.000 Sm
0.000 0.372 0.628 Sm
0.000 0.305 0.305 Sm
0.000 0.074 0.414 Sm
0.000 0.926 0.586 Sm
0.000 0.414 0.074 Sm
0.000 0.163 0.837 Sm
0.000 0.628 0.372 Sm
0.000 0.586 0.926 Sm
0.500 0.751 0.551 Pt
0.500 0.249 0.449 Pt
0.500 0.551 0.751 Pt
0.500 0.449 0.249 Pt
```

Properties
* space group: Cmmm, No. 65
* crystal system: orthorhombic
* magnetic moment: 0.000 μB/atom
* V: 25.9 Å³/atom
* ΔH_f (0 K): -0.64 eV per atom

=====

(4)
The following is a PBE calculation of KPH3 after structural relaxation, from Alexandria.

```
KPH3
1.0
-0.341 0.635 -3.735
2.271 -2.968 -0.712
-3.033 -2.294 -0.113
K H P
1 3 1
Direct
0.500 0.500 0.500 K
0.000 0.500 0.000 H
0.000 0.000 0.500 H
0.500 0.000 0.000 H
0.000 0.000 0.000 P
```

Properties
* space group: Pm-3m, No. 221
* crystal system: cubic
* magnetic moment: 0.000 μB/atom
* energy above the lowest structure with this stoichiometry: 18.9 kJ per mole of atoms
* V: 11.0 Å³/atom

=====

(5)
The following is a PBE calculation of TbScNiRu after structural relaxation, from Alexandria.

```
TbScNiRu
1.0
-2.728 -2.155 -3.118
-1.032 -4.523 0.532
-4.332 -1.283 1.180
Ru Ni Tb Sc
1 1 1 1
Direct
0.750 0.750 0.750 Ru
0.250 0.250 0.250 Ni
0.500 0.500 0.500 Tb
0.000 0.000 0.000 Sc
```

Properties
* space group: F-43m, No. 216
* crystal system: cubic
* magnetic moment: 0.000 μB/atom
* energy above the lowest structure with this stoichiometry: 2.7 kJ per mole of atoms
* V: 18.0 Å³/atom
* ΔH_f (0 K): -0.44 eV per atom

=====

(6)
The following is a PBE calculation of ZnFe2TcC after structural relaxation, from Alexandria.

```
ZnFe2TcC
1.0
3.844 0.000 0.000
0.000 3.844 0.000
0.000 0.000 4.051
C Zn Fe Tc
1 1 2 1
Direct
0.000 0.000 0.000 C
0.500 0.500 0.500 Zn
0.000 0.500 0.000 Fe
0.500 0.000 0.000 Fe
0.000 0.000 0.500 Tc
```

Properties
* space group: P4/mmm, No. 123
* crystal system: tetragonal
* magnetic moment: 0.925 μB/atom
* V: 12.0 Å³/atom
* ΔH_f (0 K): 0.07 eV per atom